# 1
Material: Tb2Pm8In
Method: DFT, PBE
State: optimized geometry

Unit cell a=9.927 b=9.927 c=9.927 alpha=147.50 beta=134.30 gamma=57.19
Fractional positions:
Tb (0.193, 0.193, 0.000)
Tb (0.807, 0.807, 0.000)
Pm (0.090, 0.363, 0.726)
Pm (0.240, 0.000, 0.240)
Pm (0.322, 0.822, 0.500)
Pm (0.363, 0.637, 0.726)
Pm (0.637, 0.363, 0.274)
Pm (0.678, 0.178, 0.500)
Pm (0.760, 0.000, 0.760)
Pm (0.910, 0.637, 0.274)
In (0.500, 0.500, 0.000)

Computed properties:
The relative energy among the computed polymorphs comes out at 72 meV/atom. The space group is Immm, No. 71. As for the formation energy: 0.0043 eV per atom.

***

# 2
Material: USnSe
Method: DFT, PBE
State: optimized geometry

Unit cell a=3.453 b=3.453 c=7.234 alpha=90.00 beta=90.00 gamma=120.00
Fractional positions:
U (0.000, 0.000, 0.000)
Sn (0.333, 0.667, 0.632)
Se (0.667, 0.333, 0.277)

Computed properties:
The space group is P3m1, No. 156. The formation energy without anion corrections comes out at -0.189 eV per atom.

***

# 3
Material: SrPr4Ho3Se8
Method: DFT, PBE
State: optimized geometry

Unit cell a=8.488 b=8.488 c=8.488 alpha=58.77 beta=58.77 gamma=58.77
Fractional positions:
Sr (0.000, 0.000, 0.000)
Pr (0.000, 0.000, 0.500)
Pr (0.000, 0.500, 0.000)
Pr (0.500, 0.000, 0.000)
Pr (0.500, 0.500, 0.500)
Ho (0.000, 0.500, 0.500)
Ho (0.500, 0.000, 0.500)
Ho (0.500, 0.500, 0.000)
Se (0.250, 0.250, 0.736)
Se (0.250, 0.736, 0.250)
Se (0.257, 0.257, 0.257)
Se (0.264, 0.750, 0.750)
Se (0.736, 0.250, 0.250)
Se (0.743, 0.743, 0.743)
Se (0.750, 0.264, 0.750)
Se (0.750, 0.750, 0.264)

Computed properties:
The space group is R-3m, No. 166. The formation energy without anion corrections comes out at -1.806 eV per atom.

***

# 4
Material: NiPbAu2
Method: DFT, PBE
State: optimized geometry

Unit cell a=3.632 b=4.328 c=5.349 alpha=90.00 beta=109.40 gamma=90.00
Fractional positions:
Ni (0.000, 0.000, 0.000)
Pb (0.500, 0.000, 0.500)
Au (0.161, 0.500, 0.782)
Au (0.839, 0.500, 0.218)

Computed properties:
The space group is P2/m, No. 10. As for the formation energy: 0.1559 eV per atom.

***

# 5
Material: YHo2Al
Method: DFT, PBE
State: optimized geometry

Unit cell a=5.339 b=5.339 c=5.339 alpha=60.00 beta=60.00 gamma=60.00
Fractional positions:
Y (0.000, 0.000, 0.000)
Ho (0.250, 0.250, 0.250)
Ho (0.750, 0.750, 0.750)
Al (0.500, 0.500, 0.500)

Computed properties:
The relative energy among the computed polymorphs comes out at 170 meV/atom. The space group is Fm-3m, No. 225. As for the formation energy: -0.0296 eV per atom.

***

# 6
Material: Nb2OsPd2
Method: DFT, PBE
State: optimized geometry

Unit cell a=7.160 b=7.160 c=3.241 alpha=90.00 beta=90.00 gamma=90.00
Fractional positions:
Nb (0.180, 0.320, 0.000)
Nb (0.320, 0.820, 0.000)
Nb (0.680, 0.180, 0.000)
Nb (0.820, 0.680, 0.000)
Os (0.000, 0.000, 0.500)
Os (0.500, 0.500, 0.500)
Pd (0.127, 0.627, 0.500)
Pd (0.373, 0.127, 0.500)
Pd (0.627, 0.873, 0.500)
Pd (0.873, 0.373, 0.500)

Computed properties:
The space group is P4/mbm, No. 127. As for the formation energy: 0.0872 eV per atom.

***

# 7
Material: Pd12PtPb6
Method: DFT, PBE
State: optimized geometry

Unit cell a=7.588 b=7.588 c=7.588 alpha=107.21 beta=107.21 gamma=107.21
Fractional positions:
Pd (0.109, 0.279, 0.834)
Pd (0.166, 0.891, 0.721)
Pd (0.182, 0.488, 0.605)
Pd (0.279, 0.834, 0.109)
Pd (0.395, 0.818, 0.512)
Pd (0.488, 0.605, 0.182)
Pd (0.512, 0.395, 0.818)
Pd (0.605, 0.182, 0.488)
Pd (0.721, 0.166, 0.891)
Pd (0.818, 0.512, 0.395)
Pd (0.834, 0.109, 0.279)
Pd (0.891, 0.721, 0.166)
Pt (0.000, 0.000, 0.000)
Pb (0.097, 0.453, 0.212)
Pb (0.212, 0.097, 0.453)
Pb (0.453, 0.212, 0.097)
Pb (0.547, 0.788, 0.903)
Pb (0.788, 0.903, 0.547)
Pb (0.903, 0.547, 0.788)

Computed properties:
The space group is R-3, No. 148. As for the formation energy: -0.2022 eV per atom.

***

# 8
Material: MgScCd6
Method: DFT, PBE
State: optimized geometry

Unit cell a=4.478 b=4.478 c=8.734 alpha=90.00 beta=90.00 gamma=90.00
Fractional positions:
Mg (0.000, 0.000, 0.000)
Sc (0.000, 0.000, 0.500)
Cd (0.000, 0.500, 0.249)
Cd (0.000, 0.500, 0.751)
Cd (0.500, 0.000, 0.249)
Cd (0.500, 0.000, 0.751)
Cd (0.500, 0.500, 0.000)
Cd (0.500, 0.500, 0.500)

Computed properties:
The space group is P4/mmm, No. 123. As for the formation energy: -0.1385 eV per atom.

***

Number 1: VASP energy -4.541 eV/atom. Number 2: VASP energy -6.447 eV/atom. Number 3: VASP energy -5.706 eV/atom. Number 4: VASP energy -3.855 eV/atom. Number 5: VASP energy -4.870 eV/atom. Number 6: VASP energy -8.264 eV/atom. Number 7: VASP energy -4.971 eV/atom. Number 8: VASP energy -1.816 eV/atom.